First-principles (PBE-GGA) data for a relaxed structure of GaCo2Os, as listed in the Alexandria database.

Unit cell a=9.0494 b=9.0494 c=9.0494 alpha=157.23 beta=157.23 gamma=32.42
Sites, in units of the cell vectors:
Ga 0.0000 0.0000 0.0000
Ga 0.7500 0.2500 0.5000
Co 0.1081 0.6250 0.9831
Co 0.3750 0.3581 0.4831
Co 0.6419 0.1250 0.0169
Co 0.8750 0.8919 0.5169
Os 0.2500 0.7500 0.5000
Os 0.5000 0.5000 0.0000

Computed properties:
* energy of formation: 0.549 eV/atom
* size of the total moment: 0.865 μB per atom
* DOS(E_F): 12.4 states/eV/cell